First-principles (PBE-GGA) data for a geometry-optimized Na2LiBiF6 structure, as listed in Alexandria.

Calculated values
**Theoretical density**: 4.41 Mg/m³
**D(E_F)**: 0.000 states/eV/atom
**E_tot**: -0.3389 Ry per atom
**M_tot**: 0.00 μB per formula unit
**Crystal system**: monoclinic
**Formation energy from raw total energies**: -60.99 kcal/mol of atoms

Lattice parameters (Å, degrees): 5.639 5.785 9.998 90.00 119.75 90.00
Space group P2_1/c (No. 14)
Unique sites:
Na1 0.200 0.059 0.239 [4 per cell]
Li1 0.000 0.000 0.500 [2 per cell]
Bi1 0.500 0.000 0.000 [2 per cell]
F1 0.117 0.215 0.932 [4 per cell]
F2 0.200 0.697 0.917 [4 per cell]
F3 0.404 0.076 0.754 [4 per cell]